A plane-wave DFT calculation with PBE was carried out for a relaxed TiTcP2Ru crystal.

The final energy comes out at -6.6060 eV/atom. As for the formation energy: 1065 meV/atom. The density of states at the Fermi level comes out at 4.24 states/eV/f.u.

The structure belongs to space group P4/mmm (No. 123); the cell edges are 4.595, 4.595 and 4.450 Å and the angles 90.00°, 90.00° and 90.00°. Symmetry generates all atoms from Ti at (0.000, 0.000, 0.000), Tc at (0.500, 0.500, 0.500), P at (0.000, 0.500, 0.000) and Ru at (0.000, 0.000, 0.500).